Record 1
A plane-wave DFT calculation with SCAN was carried out for BaSr2In2O6 at its PBEsol-relaxed geometry.

a = 4.135 Å, b = 4.135 Å, c = 20.662 Å
α = 90.00°, β = 90.00°, γ = 90.00°
Space group I4mm (No. 107)
One atom of each set of equivalent atoms:
Ba 0.000 0.000 0.000 [2 per cell]
Sr 0.000 0.000 0.636 [2 per cell]
Sr 0.000 0.000 0.817 [2 per cell]
In 0.000 0.000 0.220 [2 per cell]
In 0.000 0.000 0.417 [2 per cell]
O 0.000 0.000 0.120 [2 per cell]
O 0.000 0.000 0.519 [2 per cell]
O 0.000 0.500 0.238 [4 per cell]
O 0.000 0.500 0.395 [4 per cell]

Calculated values
Its magnetic moment is 0.000 μB/atom. Its final energy is -19.5277 eV per atom. For the calculated density, the calculation gives 6.00 Mg/m³. For the raw formation energy, the calculation gives -2413 meV per atom.

---

Record 2
A plane-wave DFT calculation with SCAN was carried out for Ba3In2WO9 at its PBEsol-relaxed geometry.

a = 5.8845 Å, b = 5.8845 Å, c = 7.2086 Å
α = 90.00°, β = 90.00°, γ = 120.00°
Space group P-3m1 (No. 164)
One atom of each set of equivalent atoms:
Ba 0.0000 0.0000 0.0000 [1 per cell]
Ba 0.3333 0.6667 0.6881 [2 per cell]
In 0.3333 0.6667 0.1684 [2 per cell]
W 0.0000 0.0000 0.5000 [1 per cell]
O 0.0000 0.5000 0.0000 [3 per cell]
O 0.1557 0.3114 0.3473 [6 per cell]

Calculated values
Its magnetic moment is 0.000 μB/atom. The energy above the most stable polymorph in this dataset comes out at 0.010 eV per atom. Its density of states at the Fermi level is 0.00 states/eV/atom. Its final energy is -23.3062 eV per atom. For the calculated density, the calculation gives 7.45 Mg/m³. For the raw formation energy, the calculation gives -2560 meV per atom.

---

Record 3
A plane-wave DFT calculation with SCAN was carried out for Ba3In2WO9 at its PBEsol-relaxed geometry.

a = 5.884 Å, b = 8.325 Å, c = 17.669 Å
α = 90.00°, β = 90.00°, γ = 90.00°
Space group Immm (No. 71)
One atom of each set of equivalent atoms:
Ba 0.000 0.234 0.000 [4 per cell]
Ba 0.000 0.259 0.338 [8 per cell]
In 0.000 0.000 0.170 [4 per cell]
In 0.000 0.000 0.500 [2 per cell]
In 0.000 0.500 0.500 [2 per cell]
W 0.000 0.500 0.167 [4 per cell]
O 0.000 0.243 0.500 [4 per cell]
O 0.000 0.269 0.171 [8 per cell]
O 0.230 0.500 0.090 [8 per cell]
O 0.237 0.500 0.244 [8 per cell]
O 0.250 0.000 0.087 [8 per cell]

Calculated values
Its magnetic moment is 0.000 μB/atom. The energy above the most stable polymorph in this dataset comes out at 0.000 eV per atom. Its density of states at the Fermi level is 0.00 states/eV/atom. Its final energy is -23.3158 eV per atom. For the calculated density, the calculation gives 7.44 Mg/m³. For the raw formation energy, the calculation gives -2570 meV per atom.

---

Record 4
A plane-wave DFT calculation with SCAN was carried out for Ba3Zn5In2O11 at its PBEsol-relaxed geometry.

a = 13.353 Å, b = 13.353 Å, c = 13.353 Å
α = 90.00°, β = 90.00°, γ = 90.00°
Space group F-43m (No. 216)
One atom of each set of equivalent atoms:
Ba 0.000 0.000 0.206 [24 per cell]
Zn 0.082 0.250 0.750 [24 per cell]
Zn 0.083 0.083 0.583 [16 per cell]
In 0.165 0.165 0.335 [16 per cell]
O 0.000 0.000 0.000 [4 per cell]
O 0.000 0.000 0.500 [4 per cell]
O 0.002 0.166 0.334 [48 per cell]
O 0.158 0.158 0.842 [16 per cell]
O 0.168 0.168 0.168 [16 per cell]

Calculated values
Its magnetic moment is 0.000 μB/atom. Its density of states at the Fermi level is 0.00 states/eV/atom. Its final energy is -17.3569 eV per atom. For the calculated density, the calculation gives 6.39 Mg/m³. For the raw formation energy, the calculation gives -2045 meV per atom.

---

Record 5
A plane-wave DFT calculation with SCAN was carried out for BaInOs2 at its PBEsol-relaxed geometry.

a = 3.168 Å, b = 4.696 Å, c = 5.354 Å
α = 90.00°, β = 90.00°, γ = 90.00°
Space group Pmmm (No. 47)
One atom of each set of equivalent atoms:
Ba 0.000 0.000 0.000 [1 per cell]
In 0.500 0.000 0.500 [1 per cell]
Os 0.000 0.500 0.500 [1 per cell]
Os 0.500 0.500 0.000 [1 per cell]

Calculated values
Its magnetic moment is 0.000 μB/atom. Its density of states at the Fermi level is 0.89 states/eV/atom. The calculation puts the formation energy at 1.4179 eV/atom. Its final energy is -52.7562 eV per atom. For the calculated density, the calculation gives 13.19 Mg/m³.

---

Record 6
A plane-wave DFT calculation with SCAN was carried out for BaInOs2 at its PBEsol-relaxed geometry.

a = 3.008 Å, b = 3.008 Å, c = 9.069 Å
α = 90.00°, β = 90.00°, γ = 90.00°
Space group P4mm (No. 99)
One atom of each set of equivalent atoms:
Ba 0.000 0.000 0.000 [1 per cell]
In 0.500 0.500 0.324 [1 per cell]
Os 0.000 0.000 0.551 [1 per cell]
Os 0.500 0.500 0.711 [1 per cell]

Calculated values
Its magnetic moment is 0.000 μB/atom. Its density of states at the Fermi level is 0.62 states/eV/atom. The calculation puts the formation energy at 0.4338 eV/atom. Its final energy is -53.7403 eV per atom. For the calculated density, the calculation gives 12.80 Mg/m³.

---

Record 7
A plane-wave DFT calculation with SCAN was carried out for Ba4InOs at its PBEsol-relaxed geometry.

a = 9.373 Å, b = 9.373 Å, c = 9.373 Å
α = 90.00°, β = 90.00°, γ = 90.00°
Space group F-43m (No. 216)
One atom of each set of equivalent atoms:
Ba 0.124 0.124 0.124 [16 per cell]
In 0.000 0.000 0.500 [4 per cell]
Os 0.250 0.250 0.750 [4 per cell]

Calculated values
Its magnetic moment is 0.065 μB/atom. Its density of states at the Fermi level is 1.25 states/eV/atom. The calculation puts the formation energy at 1.1025 eV/atom. Its final energy is -42.8087 eV per atom. For the calculated density, the calculation gives 6.89 Mg/m³.

---

Record 8
A plane-wave DFT calculation with SCAN was carried out for BaInOs2 at its PBEsol-relaxed geometry.

a = 9.524 Å, b = 3.033 Å, c = 6.369 Å
α = 90.00°, β = 99.48°, γ = 90.00°
Space group C2/m (No. 12)
One atom of each set of equivalent atoms:
Ba 0.000 0.000 0.000 [2 per cell]
In 0.000 0.500 0.500 [2 per cell]
Os 0.231 0.000 0.651 [4 per cell]

Calculated values
Its magnetic moment is 0.000 μB/atom. Its density of states at the Fermi level is 0.77 states/eV/atom. The calculation puts the formation energy at 0.8047 eV/atom. Its final energy is -53.3695 eV per atom. For the calculated density, the calculation gives 11.58 Mg/m³.

---

Record 9
A plane-wave DFT calculation with SCAN was carried out for BaInOs2Ru at its PBEsol-relaxed geometry.

a = 4.714 Å, b = 4.714 Å, c = 5.498 Å
α = 90.00°, β = 90.00°, γ = 90.00°
Space group P4/mmm (No. 123)
One atom of each set of equivalent atoms:
Ba 0.000 0.000 0.000 [1 per cell]
In 0.500 0.500 0.000 [1 per cell]
Os 0.000 0.500 0.500 [2 per cell]
Ru 0.000 0.000 0.500 [1 per cell]

Calculated values
Its magnetic moment is 0.007 μB/atom. Its density of states at the Fermi level is 0.93 states/eV/atom. The calculation puts the formation energy at 1.4818 eV/atom. Its final energy is -48.8228 eV per atom. For the calculated density, the calculation gives 9.97 Mg/m³.

---

Record 10
A plane-wave DFT calculation with SCAN was carried out for Ba2InOsW at its PBEsol-relaxed geometry.

a = 6.204 Å, b = 6.204 Å, c = 5.076 Å
α = 90.00°, β = 90.00°, γ = 90.00°
Space group P4/mmm (No. 123)
One atom of each set of equivalent atoms:
Ba 0.000 0.500 0.000 [2 per cell]
In 0.000 0.000 0.000 [1 per cell]
Os 0.500 0.500 0.500 [1 per cell]
W 0.000 0.000 0.500 [1 per cell]

Calculated values
Its magnetic moment is 1.140 μB/atom. Its density of states at the Fermi level is 0.58 states/eV/atom. The calculation puts the formation energy at 2.0540 eV/atom. Its final energy is -48.7569 eV per atom. For the calculated density, the calculation gives 6.49 Mg/m³.

---

Record 11
A plane-wave DFT calculation with SCAN was carried out for BaInP at its PBEsol-relaxed geometry.

a = 4.2965 Å, b = 4.2965 Å, c = 5.6781 Å
α = 90.00°, β = 90.00°, γ = 120.00°
Space group P3m1 (No. 156)
One atom of each set of equivalent atoms:
Ba 0.0000 0.0000 0.0000 [1 per cell]
In 0.3333 0.6667 0.5428 [1 per cell]
P 0.6667 0.3333 0.3359 [1 per cell]

Calculated values
Its magnetic moment is 0.000 μB/atom. The calculation puts the formation energy at -0.7731 eV/atom. Its final energy is -28.5516 eV per atom. For the calculated density, the calculation gives 5.18 Mg/m³.

---

Record 12
A plane-wave DFT calculation with SCAN was carried out for Ba2In5P5 at its PBEsol-relaxed geometry.

a = 17.158 Å, b = 4.157 Å, c = 17.404 Å
α = 90.00°, β = 90.00°, γ = 90.00°
Space group Pnma (No. 62)
One atom of each set of equivalent atoms:
Ba 0.020 0.250 0.121 [4 per cell]
Ba 0.042 0.250 0.630 [4 per cell]
In 0.157 0.250 0.311 [4 per cell]
In 0.169 0.750 0.472 [4 per cell]
In 0.172 0.250 0.941 [4 per cell]
In 0.186 0.750 0.777 [4 per cell]
In 0.211 0.750 0.126 [4 per cell]
P 0.082 0.250 0.442 [4 per cell]
P 0.103 0.250 0.808 [4 per cell]
P 0.107 0.750 0.235 [4 per cell]
P 0.115 0.750 0.011 [4 per cell]
P 0.197 0.750 0.625 [4 per cell]

Calculated values
Its magnetic moment is 0.000 μB/atom. The calculation puts the formation energy at -0.6267 eV/atom. Its final energy is -25.4622 eV per atom. For the calculated density, the calculation gives 5.37 Mg/m³.